First-principles (PBE) data for a geometry-optimized SbTeCl2 structure, as listed in Alexandria.

abc: 5.179 5.179 5.179
angles: 60.00 60.00 60.00
Positions (direct):
1 Cl 0.750 0.750 0.750
2 Cl 0.250 0.250 0.250
3 Te 0.500 0.500 0.500
4 Sb 0.000 0.000 0.000

Output
The value obtained for the volume is 24.55 Å³ per atom. Its space group is Fm-3m. The formation energy (no corrections) comes out at 0.21 eV per atom. The calculation puts the total DFT energy (no corrections) at -2.532 eV/atom. The excess energy over the best structure of this formula in the dataset comes out at 737 meV/atom.

***

First-principles (PBE) data for a geometry-optimized Na2PmGe6 structure, as listed in Alexandria.

abc: 3.710 7.565 7.565
angles: 90.76 89.96 89.96
Positions (direct):
1 Ge 0.278 0.664 0.059
2 Ge 0.277 0.941 0.336
3 Ge 0.778 0.691 0.309
4 Ge 0.277 0.336 0.941
5 Ge 0.778 0.309 0.691
6 Ge 0.278 0.059 0.664
7 Na 0.281 0.346 0.346
8 Na 0.274 0.654 0.654
9 Pm 0.778 0.000 0.000

Output
The formation energy is -1.47 eV per formula unit. The value obtained for the volume is 23.59 Å³ per atom. Its space group is C2/m. The calculation puts the total DFT energy (no corrections) at -4.062 eV/atom.

***

First-principles (PBE) data for a geometry-optimized RbSnN2 structure, as listed in Alexandria.

abc: 6.262 6.262 6.171
angles: 59.51 59.51 90.00
Positions (direct):
1 Sn 0.000 0.000 0.000
2 Sn 0.750 0.250 0.500
3 N 0.009 0.625 0.250
4 N 0.375 0.259 0.750
5 N 0.741 0.125 0.250
6 N 0.875 0.991 0.750
7 Rb 0.500 0.500 0.000
8 Rb 0.250 0.750 0.500

Output
The value obtained for the volume is 21.06 Å³ per atom. Its space group is I-42d. The formation energy (no corrections) comes out at 0.48 eV per atom. The calculation puts the total DFT energy (no corrections) at -4.928 eV/atom.

***

First-principles (PBE) data for a geometry-optimized PmPa2IrN4 structure, as listed in Alexandria.

abc: 3.501 6.083 11.769
angles: 90.00 90.00 106.72
Positions (direct):
1 Pa 0.630 0.261 0.059
2 Pa 0.630 0.261 0.441
3 Pa 0.370 0.739 0.941
4 Pa 0.370 0.739 0.559
5 N 0.457 0.915 0.750
6 N 0.726 0.451 0.893
7 N 0.000 0.000 0.500
8 N 0.000 0.000 0.000
9 N 0.726 0.451 0.607
10 N 0.274 0.549 0.107
11 N 0.274 0.549 0.393
12 N 0.543 0.085 0.250
13 Pm 0.108 0.215 0.750
14 Pm 0.892 0.785 0.250
15 Ir 0.156 0.312 0.250
16 Ir 0.844 0.688 0.750

Output
The value obtained for the volume is 15.00 Å³ per atom. Its space group is Cmcm. The formation energy (no corrections) comes out at -1.18 eV per atom. The calculation puts the total DFT energy (no corrections) at -9.421 eV/atom.

***

First-principles (PBE) data for a geometry-optimized Be2SeCl structure, as listed in Alexandria.

abc: 7.134 7.134 7.134
angles: 153.44 153.44 37.91
Positions (direct):
1 Se 0.750 0.250 0.500
2 Be 0.250 0.750 0.500
3 Be 0.000 0.000 0.000
4 Cl 0.500 0.500 0.000

Output
The value obtained for the volume is 18.12 Å³ per atom. Its space group is I-4m2. The formation energy (no corrections) comes out at 0.15 eV per atom. The calculation puts the total DFT energy (no corrections) at -3.044 eV/atom. The excess energy over the best structure of this formula in the dataset comes out at 561 meV/atom.

***

First-principles (PBE) data for a geometry-optimized MnTc2Mo6 structure, as listed in Alexandria.

abc: 4.421 5.353 9.078
angles: 133.41 104.05 90.06
Positions (direct):
1 Tc 0.898 0.324 0.796
2 Tc 0.102 0.676 0.204
3 Mo 0.499 0.745 0.000
4 Mo 0.695 0.527 0.390
5 Mo 0.501 0.255 0.000
6 Mo 0.305 0.473 0.610
7 Mo 0.705 0.071 0.410
8 Mo 0.295 0.929 0.590
9 Mn 0.000 0.000 0.000

Output
The formation energy is 3.65 eV per formula unit. The value obtained for the volume is 16.34 Å³ per atom. Its space group is C2/m. The calculation puts the total DFT energy (no corrections) at -10.137 eV/atom.

***

First-principles (PBE) data for a geometry-optimized Ce3TeN2 structure, as listed in Alexandria.

abc: 5.746 7.078 7.078
angles: 96.45 90.00 90.00
Positions (direct):
1 Ce 0.750 0.604 0.830
2 Ce 0.250 0.830 0.604
3 Ce 0.750 0.170 0.396
4 Ce 0.750 0.107 0.893
5 Ce 0.250 0.396 0.170
6 Ce 0.250 0.893 0.107
7 N 0.000 0.158 0.158
8 N 0.500 0.158 0.158
9 N 0.000 0.842 0.842
10 N 0.500 0.842 0.842
11 Te 0.250 0.323 0.677
12 Te 0.750 0.677 0.323

Output
The value obtained for the volume is 23.83 Å³ per atom. Its space group is Cmcm. The formation energy (no corrections) comes out at -1.29 eV per atom. The calculation puts the total DFT energy (no corrections) at -7.560 eV/atom.

***

First-principles (PBE) data for a geometry-optimized LiYHfTa2 structure, as listed in Alexandria.

abc: 4.686 4.752 4.686
angles: 90.00 90.00 90.00
Positions (direct):
1 Li 0.000 0.000 0.000
2 Ta 0.000 0.000 0.500
3 Ta 0.500 0.000 0.000
4 Y 0.500 0.500 0.500
5 Hf 0.000 0.500 0.000

Output
The formation energy is 4.93 eV per formula unit. The value obtained for the volume is 20.87 Å³ per atom. Its space group is P4/mmm. The calculation puts the total DFT energy (no corrections) at -7.421 eV/atom.